# 1
VASP calculation (GGA-PBE) on a relaxed LiNbZnNi crystal.

Summary:
Its space group is F-43m, No. 216. The energy above the most stable polymorph in this dataset is 0.302 eV/atom.

```
data_LiNbZnNi
_cell_length_a 4.234
_cell_length_b 4.234
_cell_length_c 4.234
_cell_angle_alpha 60.00
_cell_angle_beta 60.00
_cell_angle_gamma 60.00
_symmetry_space_group_name_H-M 'P 1'
_symmetry_Int_Tables_number 1
loop_
_symmetry_equiv_pos_as_xyz
'x,y,z'
loop_
_atom_site_label
_atom_site_fract_x
_atom_site_fract_y
_atom_site_fract_z
Li1 0.500 0.500 0.500
Ni1 0.750 0.750 0.750
Nb1 0.250 0.250 0.250
Zn1 0.000 0.000 0.000
```


# 2
VASP calculation (GGA-PBE) on a relaxed Li3NbO4 crystal.

Summary:
Its space group is P2, No. 3. The energy above the most stable polymorph in this dataset is 0.159 eV/atom.

```
data_Li3NbO4
_cell_length_a 5.030
_cell_length_b 12.560
_cell_length_c 5.063
_cell_angle_alpha 90.00
_cell_angle_beta 104.78
_cell_angle_gamma 90.00
_symmetry_space_group_name_H-M 'P 1'
_symmetry_Int_Tables_number 1
loop_
_symmetry_equiv_pos_as_xyz
'x,y,z'
loop_
_atom_site_label
_atom_site_fract_x
_atom_site_fract_y
_atom_site_fract_z
Li1 0.000 0.405 0.500
Li2 0.500 0.716 0.500
Li3 0.000 0.584 0.500
Li4 0.500 0.584 0.000
Li5 0.500 0.019 0.500
Li6 0.500 0.406 0.000
Li7 0.000 0.146 0.500
Li8 0.500 0.269 0.500
Li9 0.500 0.876 0.000
Li10 0.000 0.498 0.000
Li11 0.500 0.150 0.000
Li12 0.500 0.482 0.500
O1 0.225 0.878 0.230
O2 0.236 0.767 0.742
O3 0.246 0.111 0.237
O4 0.759 0.639 0.765
O5 0.770 0.988 0.261
O6 0.241 0.639 0.235
O7 0.773 0.231 0.232
O8 0.247 0.367 0.245
O9 0.227 0.231 0.768
O10 0.754 0.111 0.763
O11 0.250 0.501 0.750
O12 0.753 0.367 0.755
O13 0.764 0.767 0.258
O14 0.230 0.988 0.739
O15 0.775 0.878 0.770
O16 0.750 0.501 0.250
Nb1 0.000 0.281 0.000
Nb2 0.000 0.872 0.500
Nb3 0.000 0.725 0.000
Nb4 0.000 0.022 0.000
```


Repeat the first record exactly.
VASP calculation (GGA-PBE) on a relaxed LiNbZnNi crystal.

Summary:
Its space group is F-43m, No. 216. The energy above the most stable polymorph in this dataset is 0.302 eV/atom.

```
data_LiNbZnNi
_cell_length_a 4.234
_cell_length_b 4.234
_cell_length_c 4.234
_cell_angle_alpha 60.00
_cell_angle_beta 60.00
_cell_angle_gamma 60.00
_symmetry_space_group_name_H-M 'P 1'
_symmetry_Int_Tables_number 1
loop_
_symmetry_equiv_pos_as_xyz
'x,y,z'
loop_
_atom_site_label
_atom_site_fract_x
_atom_site_fract_y
_atom_site_fract_z
Li1 0.500 0.500 0.500
Ni1 0.750 0.750 0.750
Nb1 0.250 0.250 0.250
Zn1 0.000 0.000 0.000
```